Computed, not measured: InPb3Cl at its PBEsol-relaxed geometry at the meta-GGA SCAN level of DFT.

Final energy in eV/cell: -267.48
N(E_F) in states/eV/f.u.: 1.79

Unit cell a=5.4671 b=5.4671 c=5.4671 alpha=90.00 beta=90.00 gamma=90.00
Positions (direct):
Pb 0.0000 0.5000 0.0000
Pb 0.0000 0.0000 0.5000
Pb 0.5000 0.0000 0.0000
Cl 0.0000 0.0000 0.0000
In 0.5000 0.5000 0.5000

Computed, not measured: BOsS2 at its PBEsol-relaxed geometry at the meta-GGA SCAN level of DFT.

Final energy in eV/cell: -96.84
N(E_F) in states/eV/f.u.: 1.83

Unit cell a=2.9071 b=2.9071 c=7.0621 alpha=78.12 beta=78.12 gamma=60.00
Positions (direct):
S 0.8918 0.8918 0.3245
S 0.1082 0.1082 0.6755
B 0.5000 0.5000 0.5000
Os 0.0000 0.0000 0.0000